Record 1
Density functional theory data (PBE) for crystalline Ca8SbPd2 at its relaxed geometry.

Geometry as POSCAR:
```
Ca8SbPd2
1.0
5.622 0.146 -0.885
-1.823 7.422 -3.020
0.139 0.010 8.217
Pd Sb Ca
2 1 8
Direct
0.500 0.318 0.689
0.500 0.689 0.318
0.007 0.003 0.003
0.999 0.762 0.244
0.803 0.625 0.625
0.196 0.382 0.382
0.999 0.244 0.762
0.585 0.335 0.069
0.413 0.937 0.671
0.413 0.671 0.937
0.585 0.069 0.335
```

Results
- SG = No. 8

=====

Record 2
Density functional theory data (PBE) for crystalline Pr2TlRu at its relaxed geometry.

Geometry as POSCAR:
```
Pr2TlRu
1.0
-3.046 0.910 2.600
-3.685 -1.755 -0.459
0.111 -6.519 5.656
Pr Ru Tl
2 1 1
Direct
0.064 0.064 0.809
0.270 0.270 0.190
0.666 0.666 0.002
0.501 0.501 0.498
```

Results
- formation enthalpy at 0 K (eV per atom) = -0.11
- SG = No. 160

=====

Record 3
Density functional theory data (PBE) for crystalline La2TlSb2 at its relaxed geometry.

Geometry as POSCAR:
```
La2TlSb2
1.0
8.772 0.000 0.000
0.000 8.772 0.000
0.000 0.000 4.206
Sb Tl La
4 2 4
Direct
0.838 0.338 0.500
0.662 0.838 0.500
0.162 0.662 0.500
0.338 0.162 0.500
0.500 0.500 0.000
0.000 0.000 0.000
0.643 0.143 0.000
0.357 0.857 0.000
0.857 0.643 0.000
0.143 0.357 0.000
```

Results
- SG = No. 127

=====

Record 4
Density functional theory data (PBE) for crystalline Pm2Nd4DyHo at its relaxed geometry.

Geometry as POSCAR:
```
Pm2Nd4DyHo
1.0
5.165 0.000 0.000
0.000 5.035 1.046
0.000 2.971 11.068
Nd Pm Ho Dy
4 2 1 1
Direct
0.500 0.751 0.249
0.500 0.249 0.751
0.000 0.250 0.250
0.000 0.750 0.750
0.500 0.000 0.500
0.000 0.000 0.000
0.500 0.500 0.000
0.000 0.500 0.500
```

Results
- formation enthalpy at 0 K (eV per atom) = 0.01
- SG = No. 10

=====

Record 5
Density functional theory data (PBE) for crystalline ZrTc2Rh at its relaxed geometry.

Geometry as POSCAR:
```
ZrTc2Rh
1.0
-1.465 -0.191 -3.326
-1.903 -3.364 1.031
-3.475 2.393 1.393
Rh Tc Zr
1 2 1
Direct
0.000 0.500 0.500
0.500 0.500 0.000
0.000 0.000 0.000
0.500 0.000 0.500
```

Results
- formation enthalpy at 0 K (eV per atom) = -0.16
- SG = No. 47

=====

Record 6
Density functional theory data (PBE) for crystalline Ac6GaPb5 at its relaxed geometry.

Geometry as POSCAR:
```
Ac6GaPb5
1.0
-4.204 -0.387 3.515
-10.085 -0.962 -3.598
-4.270 -8.662 -1.776
Ac Pb Ga
6 5 1
Direct
0.264 0.235 0.000
0.243 0.593 0.329
0.757 0.079 0.329
0.243 0.921 0.671
0.757 0.407 0.671
0.736 0.765 0.000
0.500 0.171 0.658
0.000 0.661 0.679
0.500 0.829 0.342
0.000 0.339 0.321
0.500 0.500 0.000
0.000 0.000 0.000
```

Results
- formation enthalpy at 0 K (eV per atom) = -0.47
- SG = No. 12

=====

Record 7
Density functional theory data (PBE) for crystalline CoReBr2 at its relaxed geometry.

Geometry as POSCAR:
```
CoReBr2
1.0
1.850 0.000 8.185
-0.925 1.602 8.185
-0.925 -1.602 8.185
Br Co Re
2 1 1
Direct
0.099 0.099 0.099
0.901 0.901 0.901
0.500 0.500 0.500
0.000 0.000 0.000
```

Results
- SG = No. 166

=====

Record 8
Density functional theory data (PBE) for crystalline LiHN at its relaxed geometry.

Geometry as POSCAR:
```
LiHN
1.0
-0.856 1.728 -3.264
3.576 -2.032 -1.562
-2.653 -2.714 0.685
N H Li
2 2 2
Direct
0.336 0.889 0.815
0.664 0.111 0.185
0.620 0.341 0.198
0.380 0.659 0.802
0.190 0.982 0.296
0.810 0.018 0.704
```

Results
- SG = No. 2

=====

Record 9
Density functional theory data (PBE) for crystalline KHgBr2 at its relaxed geometry.

Geometry as POSCAR:
```
KHgBr2
1.0
6.630 0.000 0.000
0.000 6.630 0.000
3.315 3.315 8.139
Br Hg K
4 2 2
Direct
0.375 0.329 0.750
0.671 0.125 0.250
0.875 0.921 0.750
0.079 0.625 0.250
0.000 0.000 0.000
0.750 0.250 0.500
0.250 0.750 0.500
0.500 0.500 0.000
```

Results
- SG = No. 122

=====

Record 10
Density functional theory data (PBE) for crystalline ZnH2Ru at its relaxed geometry.

Geometry as POSCAR:
```
ZnH2Ru
1.0
-0.395 -3.765 0.088
2.568 -0.204 2.775
-2.622 -1.515 4.899
H Ru Zn
4 2 2
Direct
0.375 0.313 0.750
0.875 0.937 0.750
0.063 0.625 0.250
0.687 0.125 0.250
0.000 0.000 0.000
0.750 0.250 0.500
0.500 0.500 0.000
0.250 0.750 0.500
```

Results
- SG = No. 122

=====

For the records above, the corresponding total energy values read -3.247; -5.415; -4.891; -4.705; -9.322; -4.320; -4.843; -4.805; -2.073; -4.104 eV per atom.